(1)
Sm3YTl3 | the Alexandria database | PBE | optimized geometry; energy relative to the elements = -21.7 kJ/mol of atoms; E above lowest polymorph = 0.055 eV per atom
1.0
9.5787 0.0000 0.0000
-4.7893 8.2954 0.0000
0.0000 0.0000 5.2845
Sm Y Tl
6 2 6
direct
0.0005 0.2382 0.2500
0.2382 0.2376 0.7500
0.2376 0.9995 0.2500
0.7624 0.0005 0.7500
0.7618 0.7624 0.2500
0.9995 0.7618 0.7500
0.3333 0.6667 0.2500
0.6667 0.3333 0.7500
0.0710 0.4515 0.7500
0.3805 0.9290 0.7500
0.4515 0.3805 0.2500
0.5485 0.6195 0.7500
0.6195 0.0710 0.2500
0.9290 0.5485 0.2500

(2)
Sm3Y2Tl | the Alexandria database | PBE | optimized geometry; energy relative to the elements = 18.6 kJ/mol of atoms
1.0
-2.9183 3.2408 5.1313
2.9183 -3.2408 5.1313
2.9183 3.2408 -5.1313
Sm Y Tl
3 2 1
direct
0.0000 0.0000 0.0000
0.3483 0.3483 0.0000
0.6517 0.6517 0.0000
0.1873 0.6873 0.5000
0.8127 0.3127 0.5000
0.5000 0.0000 0.5000

(3)
Sm2YTl9 | the Alexandria database | PBE | optimized geometry; energy relative to the elements = -27.0 kJ/mol of atoms
1.0
4.7962 0.0000 0.0000
0.0000 4.7962 0.0000
0.0000 0.0000 14.3842
Sm Y Tl
2 1 9
direct
0.0000 0.0000 0.1673
0.0000 0.0000 0.8327
0.0000 0.0000 0.5000
0.0000 0.5000 0.0000
0.0000 0.5000 0.3348
0.0000 0.5000 0.6652
0.5000 0.0000 0.0000
0.5000 0.0000 0.3348
0.5000 0.0000 0.6652
0.5000 0.5000 0.1670
0.5000 0.5000 0.5000
0.5000 0.5000 0.8330

(4)
Sm3Y3Tl | the Alexandria database | PBE | optimized geometry; energy relative to the elements = -6.6 kJ/mol of atoms
1.0
9.5082 0.0000 0.0000
0.0000 5.6298 0.0000
-4.7516 0.0000 8.2408
Sm Y Tl
6 6 2
direct
0.0204 0.2500 0.3923
0.1282 0.7500 0.0210
0.3928 0.7500 0.8721
0.6072 0.2500 0.1279
0.8718 0.2500 0.9790
0.9796 0.7500 0.6077
0.2594 0.7500 0.4368
0.3227 0.2500 0.2595
0.4364 0.2500 0.6772
0.5636 0.7500 0.3228
0.6773 0.7500 0.7405
0.7406 0.2500 0.5632
0.1666 0.2500 0.8335
0.8334 0.7500 0.1665